Below is crystalline AlSCl2F at its relaxed geometry, with properties calculated at the GGA-PBE level.

Raw formation energy: 0.145 eV/atom
Crystal system: tetragonal
Distance to the lowest polymorph of the same formula: 3.205 eV/f.u.

CIF file:
```
data_AlSCl2F
_chemical_formula_sum 'Al1 S1 Cl2 F1'
_cell_length_a 5.505
_cell_length_b 5.505
_cell_length_c 3.657
_cell_angle_alpha 90.00
_cell_angle_beta 90.00
_cell_angle_gamma 90.00
_symmetry_space_group_name_H-M 'P 4/m m m'
_symmetry_Int_Tables_number 123
_symmetry_space_group_name_Hall '-P 4 2'
loop_
_atom_site_label
_atom_site_fract_x
_atom_site_fract_y
_atom_site_fract_z
Al1 0.000 0.000 0.000
S1 0.500 0.500 0.000
Cl1 0.000 0.500 0.500
F1 0.500 0.500 0.500
```


Below is crystalline AlSCl2F at its relaxed geometry, with properties calculated at the GGA-PBE level.

Raw formation energy: -0.496 eV/atom
Crystal system: tetragonal
Distance to the lowest polymorph of the same formula: 0.000 eV/f.u.

CIF file:
```
data_AlSCl2F
_chemical_formula_sum 'Al1 S1 Cl2 F1'
_cell_length_a 4.540
_cell_length_b 4.540
_cell_length_c 4.924
_cell_angle_alpha 90.00
_cell_angle_beta 90.00
_cell_angle_gamma 90.00
_symmetry_space_group_name_H-M 'P 4/m m m'
_symmetry_Int_Tables_number 123
_symmetry_space_group_name_Hall '-P 4 2'
loop_
_atom_site_label
_atom_site_fract_x
_atom_site_fract_y
_atom_site_fract_z
Al1 0.000 0.000 0.000
S1 0.000 0.000 0.500
Cl1 0.000 0.500 0.000
F1 0.500 0.500 0.500
```


Below is crystalline AlS2ClF at its relaxed geometry, with properties calculated at the GGA-PBE level.

Raw formation energy: -0.145 eV/atom
Crystal system: tetragonal
Distance to the lowest polymorph of the same formula: 0.000 eV/f.u.

CIF file:
```
data_AlS2ClF
_chemical_formula_sum 'Al1 S2 Cl1 F1'
_cell_length_a 4.663
_cell_length_b 4.663
_cell_length_c 4.603
_cell_angle_alpha 90.00
_cell_angle_beta 90.00
_cell_angle_gamma 90.00
_symmetry_space_group_name_H-M 'P 4/m m m'
_symmetry_Int_Tables_number 123
_symmetry_space_group_name_Hall '-P 4 2'
loop_
_atom_site_label
_atom_site_fract_x
_atom_site_fract_y
_atom_site_fract_z
Al1 0.000 0.000 0.000
S1 0.000 0.500 0.000
Cl1 0.000 0.000 0.500
F1 0.500 0.500 0.500
```


Below is crystalline AlSiClF2 at its relaxed geometry, with properties calculated at the GGA-PBE level.

Raw formation energy: -1.728 eV/atom
Crystal system: tetragonal

CIF file:
```
data_AlSiClF2
_chemical_formula_sum 'Al1 Si1 Cl1 F2'
_cell_length_a 3.727
_cell_length_b 3.727
_cell_length_c 5.306
_cell_angle_alpha 90.00
_cell_angle_beta 90.00
_cell_angle_gamma 90.00
_symmetry_space_group_name_H-M 'P 4/m m m'
_symmetry_Int_Tables_number 123
_symmetry_space_group_name_Hall '-P 4 2'
loop_
_atom_site_label
_atom_site_fract_x
_atom_site_fract_y
_atom_site_fract_z
Al1 0.000 0.000 0.000
Si1 0.000 0.000 0.500
Cl1 0.500 0.500 0.500
F1 0.000 0.500 0.000
```


Below is crystalline SrAlClF4 at its relaxed geometry, with properties calculated at the GGA-PBE level.

Raw formation energy: -3.342 eV/atom
Crystal system: monoclinic

CIF file:
```
data_SrAlClF4
_chemical_formula_sum 'Sr4 Al4 Cl4 F16'
_cell_length_a 10.524
_cell_length_b 7.665
_cell_length_c 7.243
_cell_angle_alpha 90.00
_cell_angle_beta 106.28
_cell_angle_gamma 90.00
_symmetry_space_group_name_H-M 'C 1 2/m 1'
_symmetry_Int_Tables_number 12
loop_
_symmetry_equiv_pos_as_xyz
'x,y,z'
'-x,-y,-z'
'-x,y,-z'
'x,-y,z'
'x+1/2,y+1/2,z'
'-x+1/2,-y+1/2,-z'
'-x+1/2,y+1/2,-z'
'x+1/2,-y+1/2,z'
loop_
_atom_site_label
_atom_site_fract_x
_atom_site_fract_y
_atom_site_fract_z
Sr1 0.213 0.000 0.134
Al1 0.131 0.500 0.262
Cl1 0.027 0.000 0.761
F1 0.037 0.500 0.800
F2 0.184 0.325 0.156
F3 0.192 0.500 0.504
```


Below is crystalline AlTcClF2 at its relaxed geometry, with properties calculated at the GGA-PBE level.

Raw formation energy: -0.920 eV/atom
Crystal system: tetragonal

CIF file:
```
data_AlTcClF2
_chemical_formula_sum 'Al1 Tc1 Cl1 F2'
_cell_length_a 3.639
_cell_length_b 3.639
_cell_length_c 6.376
_cell_angle_alpha 90.00
_cell_angle_beta 90.00
_cell_angle_gamma 90.00
_symmetry_space_group_name_H-M 'P 4/m m m'
_symmetry_Int_Tables_number 123
_symmetry_space_group_name_Hall '-P 4 2'
loop_
_atom_site_label
_atom_site_fract_x
_atom_site_fract_y
_atom_site_fract_z
Al1 0.000 0.000 0.000
Tc1 0.500 0.500 0.500
Cl1 0.000 0.000 0.500
F1 0.000 0.500 0.000
```